An optimized crystal structure of Tl4OsO5, computed with PBE-GGA.

## Properties
DFT total energy ... -53.27 eV per formula unit
Spin magnetization ... 0.000 Bohr magnetons per cell
Formation energy from raw total energies ... -778 meV/atom
Mass density ... 8.07 g cm⁻³

```
Tl4OsO5
1.0
5.811 0.000 0.000
2.905 6.208 0.000
2.905 0.000 6.208
Tl Os O
4 1 5
Cartesian
5.638 3.084 4.895
8.543 4.895 3.123
2.733 1.313 3.084
5.638 3.123 1.313
0.724 0.000 0.000
8.837 1.709 5.562
5.931 5.562 4.499
5.931 0.645 1.709
3.026 4.499 0.645
2.448 0.000 0.000
```

---

An optimized crystal structure of TlOsO3, computed with PBE-GGA.

## Properties
DFT total energy ... -32.43 eV per formula unit
Spin magnetization ... 0.000 Bohr magnetons per cell
Formation energy from raw total energies ... -793 meV/atom
Mass density ... 7.94 g cm⁻³

```
TlOsO3
1.0
4.414 0.000 -1.394
-0.809 6.806 -2.563
-0.403 -0.284 6.408
Tl Os O
2 2 6
Cartesian
1.850 5.636 -1.828
1.352 0.886 4.280
2.861 3.230 1.374
0.340 3.292 1.077
3.146 4.743 2.276
0.055 1.779 0.175
0.901 3.171 2.854
2.300 3.352 -0.402
0.120 4.936 0.380
3.081 1.587 2.071
```

---

An optimized crystal structure of TlOs3O9, computed with PBE-GGA.

## Properties
DFT total energy ... -92.96 eV per formula unit
Spin magnetization ... 0.000 Bohr magnetons per cell
Formation energy from raw total energies ... -945 meV/atom
Mass density ... 8.79 g cm⁻³

```
TlOs3O9
1.0
5.765 0.000 -0.252
0.000 7.537 0.000
-0.081 0.000 7.993
Tl Os O
2 6 18
Cartesian
0.058 1.884 3.589
5.625 5.653 4.152
0.000 0.000 0.000
0.000 3.769 0.000
2.691 3.761 5.456
2.691 0.007 5.456
2.993 7.530 2.285
2.993 3.776 2.285
0.050 1.884 7.938
0.979 7.375 6.328
0.979 3.931 6.328
1.660 7.407 3.767
1.660 3.899 3.767
2.532 1.884 5.462
1.625 7.450 0.970
1.625 3.856 0.970
2.816 1.884 2.286
2.868 5.653 5.455
4.059 0.087 6.771
4.059 3.682 6.771
3.152 5.653 2.279
4.024 0.130 3.974
4.024 3.639 3.974
4.705 0.163 1.413
4.705 3.606 1.413
5.634 5.653 -0.197
```

---

An optimized crystal structure of TlOs3O12, computed with PBE-GGA.

## Properties
DFT total energy ... -110.74 eV per formula unit
Spin magnetization ... 2.518 Bohr magnetons per cell
Formation energy from raw total energies ... -949 meV/atom
Mass density ... 3.88 g cm⁻³

```
TlOs3O12
1.0
8.380 0.000 4.047
3.213 7.740 4.047
-0.744 -0.497 12.241
Tl Os O
2 6 24
Cartesian
0.211 0.141 10.264
6.379 4.259 8.190
6.796 2.609 4.150
2.689 3.457 8.820
7.227 1.158 10.271
5.970 7.575 5.352
10.392 5.276 6.746
6.329 6.231 11.472
1.311 0.796 1.235
2.148 1.997 9.611
10.672 7.286 13.735
7.464 2.662 15.531
3.707 3.057 7.464
3.289 0.244 14.280
6.985 2.907 5.860
9.700 4.362 12.323
5.595 1.671 9.966
7.575 1.218 11.980
8.276 2.251 9.411
3.643 4.417 9.909
1.580 3.168 14.397
6.644 0.905 3.846
5.655 6.679 15.952
5.686 6.115 6.267
8.837 5.337 7.537
4.653 2.944 15.809
6.662 4.527 11.402
9.669 5.873 17.631
6.125 6.781 9.832
3.265 5.789 3.788
4.873 6.529 12.387
7.655 7.063 12.206
```

---

An optimized crystal structure of TlOsO3, computed with PBE-GGA.

## Properties
DFT total energy ... -22.74 eV per formula unit
Spin magnetization ... 4.757 Bohr magnetons per cell
Formation energy from raw total energies ... 1146 meV/atom
Mass density ... 9.98 g cm⁻³

```
TlOsO3
1.0
4.191 0.000 0.000
0.000 4.191 0.000
0.000 0.000 4.191
Tl Os O
1 1 3
Cartesian
0.000 0.000 0.000
2.096 2.096 2.096
0.000 2.096 0.000
0.000 0.000 2.096
2.096 0.000 0.000
```

---

An optimized crystal structure of Tl3Os2O8, computed with PBE-GGA.

## Properties
DFT total energy ... -80.72 eV per formula unit
Spin magnetization ... 3.025 Bohr magnetons per cell
Formation energy from raw total energies ... -884 meV/atom
Mass density ... 7.33 g cm⁻³

```
Tl3Os2O8
1.0
-6.246 -0.358 -0.719
-2.737 -5.579 -1.021
-3.780 -2.929 6.714
Tl Os O
3 2 8
Cartesian
0.000 0.000 0.000
-3.313 -2.364 2.380
-9.450 -6.501 2.594
-6.609 -4.707 4.596
-6.154 -4.158 0.378
-3.018 -2.007 -0.361
-9.745 -6.858 5.334
-6.425 -6.304 3.799
-8.057 -3.877 3.939
-5.153 -3.710 4.274
-4.706 -4.989 1.034
-6.338 -2.561 1.174
-7.610 -5.155 0.700
```

---

Copy entry 6 word for word.
An optimized crystal structure of Tl3Os2O8, computed with PBE-GGA.

## Properties
DFT total energy ... -80.72 eV per formula unit
Spin magnetization ... 3.025 Bohr magnetons per cell
Formation energy from raw total energies ... -884 meV/atom
Mass density ... 7.33 g cm⁻³

```
Tl3Os2O8
1.0
-6.246 -0.358 -0.719
-2.737 -5.579 -1.021
-3.780 -2.929 6.714
Tl Os O
3 2 8
Cartesian
0.000 0.000 0.000
-3.313 -2.364 2.380
-9.450 -6.501 2.594
-6.609 -4.707 4.596
-6.154 -4.158 0.378
-3.018 -2.007 -0.361
-9.745 -6.858 5.334
-6.425 -6.304 3.799
-8.057 -3.877 3.939
-5.153 -3.710 4.274
-4.706 -4.989 1.034
-6.338 -2.561 1.174
-7.610 -5.155 0.700
```